Material: Be2CrW
Method: DFT, GGA-PBE
State: relaxed Values from VASP.

## Properties
The space group is P4/mmm, No. 123. The formation energy is 193 meV/atom. As for the total energy: -7.314 eV/atom.

```
&SYSTEM
  ibrav = 0, nat = 4, ntyp = 3
/
ATOMIC_SPECIES
Cr 52.00 Cr.upf
W 183.84 W.upf
Be 9.01 Be.upf
ATOMIC_POSITIONS crystal
Cr 0.5000 0.5000 0.2500
W 0.5000 0.5000 0.7500
Be 0.0000 0.0000 0.0186
Be 0.0000 0.0000 0.4814
CELL_PARAMETERS angstrom
2.6336 0.0000 0.0000
0.0000 2.6336 0.0000
0.0000 0.0000 6.4785
```